Here is a relaxed structure of Al2ReIr from Alexandria via LeMat-Bulk. Energies are from PBE-GGA.

The calculation puts the density of states at the Fermi level at 1.144 states/eV per atom. For the total magnetization, the calculation gives 0.000 μB per atom. The calculation puts the calculated formation energy at -312 meV/atom.

It has space group R-3m (No. 166, hexagonal axes), with a = 2.8355 Å, b = 2.8355 Å, c = 25.1689 Å, α = 90.00°, β = 90.00° and γ = 120.00°. The asymmetric unit holds Al at (0.0000, 0.0000, 0.2470), Re at (0.0000, 0.0000, 0.0000) and Ir at (0.0000, 0.0000, 0.5000).